[1]
Density functional theory data (GGA-PBE) for a geometry-optimized Y4Tl2H structure.

Unit cell a=9.027 b=9.027 c=9.027 alpha=150.48 beta=150.48 gamma=42.23
Atoms (fractional coordinates):
1 Y 0.000 0.500 0.500
2 Y 0.178 0.178 0.000
3 Y 0.500 0.000 0.500
4 Y 0.822 0.822 0.000
5 Tl 0.364 0.364 0.000
6 Tl 0.636 0.636 0.000
7 H 0.000 0.000 0.000

Calculated values
D(E_F)	0.5499	states/eV/atom
mass density	7.1	Mg/m³
energy above the lowest structure with this stoichiometry	30.9	meV per atom
raw total energy	-5.20	eV per atom
total moment	0.0	μB/f.u.

=====

[2]
Density functional theory data (GGA-PBE) for a geometry-optimized ReSe3 structure.

Unit cell a=2.894 b=2.894 c=10.729 alpha=90.00 beta=90.00 gamma=116.62
Atoms (fractional coordinates):
1 Re 0.000 0.000 0.000
2 Se 0.000 0.000 0.500
3 Se 0.500 0.500 0.194
4 Se 0.500 0.500 0.806

Calculated values
D(E_F)	0.7670	states/eV/atom
mass density	8.7	Mg/m³
uncorrected formation energy	489	meV/atom
energy above the lowest structure with this stoichiometry	516.0	meV per atom
raw total energy	-5.24	eV per atom
total moment	0.0	μB/f.u.

=====

[3]
Density functional theory data (GGA-PBE) for a geometry-optimized Sm7Cd2Ru2 structure.

Unit cell a=9.868 b=9.868 c=9.868 alpha=157.42 beta=63.78 gamma=121.23
Atoms (fractional coordinates):
1 Sm 0.000 0.000 0.000
2 Sm 0.058 0.377 0.680
3 Sm 0.084 0.735 0.349
4 Sm 0.387 0.735 0.651
5 Sm 0.437 0.573 0.864
6 Sm 0.697 0.377 0.320
7 Sm 0.710 0.573 0.136
8 Cd 0.334 0.334 0.000
9 Cd 0.725 0.225 0.500
10 Ru 0.313 0.072 0.241
11 Ru 0.831 0.072 0.759

Calculated values
D(E_F)	1.1681	states/eV/atom
mass density	7.8	Mg/m³
E_form	-216	meV per atom
energy above the lowest structure with this stoichiometry	0.0	meV per atom
raw total energy	-5.07	eV per atom
total moment	0.0	μB/f.u.

=====

[4]
Density functional theory data (GGA-PBE) for a geometry-optimized Nb2GaHg structure.

Unit cell a=5.966 b=5.966 c=5.966 alpha=103.07 beta=103.07 gamma=123.22
Atoms (fractional coordinates):
1 Nb 0.112 0.625 0.987
2 Nb 0.375 0.362 0.487
3 Nb 0.638 0.125 0.013
4 Nb 0.875 0.888 0.513
5 Ga 0.000 0.000 0.000
6 Ga 0.750 0.250 0.500
7 Hg 0.250 0.750 0.500
8 Hg 0.500 0.500 0.000

Calculated values
D(E_F)	0.6254	states/eV/atom
mass density	9.7	Mg/m³
E_form	348	meV per atom
raw total energy	-5.52	eV per atom
total moment	0.0	μB/f.u.

=====

[5]
Density functional theory data (GGA-PBE) for a geometry-optimized TbEr3H8 structure.

Unit cell a=5.132 b=5.132 c=5.132 alpha=90.00 beta=90.00 gamma=90.00
Atoms (fractional coordinates):
1 Tb 0.000 0.000 0.000
2 Er 0.000 0.500 0.500
3 Er 0.500 0.000 0.500
4 Er 0.500 0.500 0.000
5 H 0.253 0.253 0.253
6 H 0.253 0.253 0.747
7 H 0.253 0.747 0.253
8 H 0.253 0.747 0.747
9 H 0.747 0.253 0.253
10 H 0.747 0.253 0.747
11 H 0.747 0.747 0.253
12 H 0.747 0.747 0.747

Calculated values
D(E_F)	0.2020	states/eV/atom
mass density	8.2	Mg/m³
raw total energy	-4.48	eV per atom
total moment	0.0	μB/f.u.

=====

[6]
Density functional theory data (GGA-PBE) for a geometry-optimized AcHoSi2Pt4 structure.

Unit cell a=4.165 b=4.165 c=9.477 alpha=90.00 beta=90.00 gamma=90.00
Atoms (fractional coordinates):
1 Ac 0.000 0.000 0.000
2 Ho 0.000 0.000 0.500
3 Si 0.500 0.500 0.378
4 Si 0.500 0.500 0.622
5 Pt 0.000 0.500 0.251
6 Pt 0.000 0.500 0.749
7 Pt 0.500 0.000 0.251
8 Pt 0.500 0.000 0.749

Calculated values
D(E_F)	0.4516	states/eV/atom
mass density	12.4	Mg/m³
uncorrected formation energy	-958	meV/atom
raw total energy	-6.42	eV per atom
total moment	0.0	μB/f.u.

=====

[7]
Density functional theory data (GGA-PBE) for a geometry-optimized SrDy2Zr structure.

Unit cell a=12.451 b=12.451 c=12.451 alpha=16.19 beta=16.19 gamma=16.19
Atoms (fractional coordinates):
1 Sr 0.000 0.000 0.000
2 Dy 0.096 0.096 0.096
3 Dy 0.904 0.904 0.904
4 Zr 0.500 0.500 0.500

Calculated values
D(E_F)	1.5072	states/eV/atom
mass density	6.4	Mg/m³
E_form	272	meV per atom
raw total energy	-4.59	eV per atom
total moment	0.0	μB/f.u.

=====

[8]
Density functional theory data (GGA-PBE) for a geometry-optimized Ce2InOs structure.

Unit cell a=4.591 b=4.591 c=4.301 alpha=90.00 beta=90.00 gamma=90.00
Atoms (fractional coordinates):
1 Ce 0.000 0.500 0.000
2 Ce 0.500 0.000 0.000
3 In 0.000 0.000 0.500
4 Os 0.500 0.500 0.500

Calculated values
D(E_F)	1.5322	states/eV/atom
mass density	10.7	Mg/m³
E_form	-117	meV per atom
energy above the lowest structure with this stoichiometry	186.1	meV per atom
raw total energy	-6.58	eV per atom
total moment	0.0	μB/f.u.